[1]
# PBE CsCuNiBr6, optimized geometry
# Spin magnetization in μB per cell: 2.000
# Total energy in eV/cell: -25.95
# N(E_F) in states/eV per cell: 1.3
# Energy relative to the elements, uncorrected in meV per atom: -575.6
data_CsCuNiBr6
_chemical_formula_sum 'Cs1 Cu1 Ni1 Br6'
_cell_length_a 6.506
_cell_length_b 6.525
_cell_length_c 8.184
_cell_angle_alpha 92.96
_cell_angle_beta 93.40
_cell_angle_gamma 112.48
_space_group_name_H-M_alt 'P 1'
_space_group_IT_number 1
loop_
_space_group_symop_operation_xyz
'x,y,z'
loop_
_atom_site_label
_atom_site_fract_x
_atom_site_fract_y
_atom_site_fract_z
Cs1 0.000 0.000 0.000
Cu1 0.302 0.687 0.504
Ni1 0.646 0.353 0.499
Br1 0.352 0.027 0.665
Br2 0.361 0.401 0.324
Br3 0.597 0.633 0.677
Br4 0.635 0.059 0.310
Br5 0.944 0.362 0.687
Br6 0.968 0.649 0.337


[2]
# PBE Cs2NpCu2Br6, optimized geometry
# Spin magnetization in μB per cell: 9.882
# Total energy in eV/cell: -88.18
# N(E_F) in states/eV per cell: 15.3
# Energy relative to the elements, uncorrected in meV per atom: -1019.2
data_Cs2NpCu2Br6
_chemical_formula_sum 'Cs4 Np2 Cu4 Br12'
_cell_length_a 13.918
_cell_length_b 7.987
_cell_length_c 8.734
_cell_angle_alpha 90.00
_cell_angle_beta 123.03
_cell_angle_gamma 90.00
_space_group_name_H-M_alt 'C 1 2/m 1'
_space_group_IT_number 12
loop_
_space_group_symop_operation_xyz
'x,y,z'
'-x,-y,-z'
'-x,y,-z'
'x,-y,z'
'x+1/2,y+1/2,z'
'-x+1/2,-y+1/2,-z'
'-x+1/2,y+1/2,-z'
'x+1/2,-y+1/2,z'
loop_
_atom_site_label
_atom_site_fract_x
_atom_site_fract_y
_atom_site_fract_z
Cs1 0.223 0.000 0.211
Np1 0.000 0.000 0.500
Cu1 0.041 0.500 0.165
Br1 0.040 0.246 0.778
Br2 0.246 0.000 0.652


[3]
# PBE CsNpCuBr5, optimized geometry
# Spin magnetization in μB per cell: 16.000
# Total energy in eV/cell: -142.54
# N(E_F) in states/eV per cell: 18.7
# Energy relative to the elements, uncorrected in meV per atom: -1172.5
data_CsNpCuBr5
_chemical_formula_sum 'Cs4 Np4 Cu4 Br20'
_cell_length_a 9.682
_cell_length_b 12.788
_cell_length_c 10.952
_cell_angle_alpha 90.00
_cell_angle_beta 112.70
_cell_angle_gamma 90.00
_space_group_name_H-M_alt 'C 1 2/c 1'
_space_group_IT_number 15
loop_
_space_group_symop_operation_xyz
'x,y,z'
'-x,-y,-z'
'-x,y,-z+1/2'
'x,-y,z+1/2'
'x+1/2,y+1/2,z'
'-x+1/2,-y+1/2,-z'
'-x+1/2,y+1/2,-z+1/2'
'x+1/2,-y+1/2,z+1/2'
loop_
_atom_site_label
_atom_site_fract_x
_atom_site_fract_y
_atom_site_fract_z
Cs1 0.000 0.151 0.250
Np1 0.000 0.500 0.000
Cu1 0.000 0.193 0.750
Br1 0.000 0.430 0.250
Br2 0.101 0.294 0.610
Br3 0.196 0.078 0.915


Question: Which value of spin magnetization does entry 3 give?
Answer: 16.000 μB per cell


Question: Among the records above, which one has the lowest total energy?
Answer: CsNpCuBr5